Version a
## Ca2PPd2 (PBE)

Data for a relaxed Ca2PPd2 crystal.

Unit cell a=6.8549 b=6.8549 c=4.3477 alpha=90.00 beta=90.00 gamma=90.00
Fractional positions:
1 P 0.0000 0.0000 0.0000
2 P 0.5000 0.5000 0.0000
3 Ca 0.1741 0.6741 0.5000
4 Ca 0.6741 0.8259 0.5000
5 Ca 0.8259 0.3259 0.5000
6 Ca 0.3259 0.1741 0.5000
7 Pd 0.3553 0.8553 0.0000
8 Pd 0.8553 0.6447 0.0000
9 Pd 0.6447 0.1447 0.0000
10 Pd 0.1447 0.3553 0.0000

Values from the calculation:
The calculation puts the total moment at 0.0 μB per cell. The calculation puts the density of states at the Fermi level at 5.392 states/eV/cell.

=====

Version b
## Ca2PPd2 (PBE)

Data for a relaxed Ca2PPd2 crystal.

Unit cell a=5.6392 b=5.6392 c=7.5428 alpha=77.54 beta=77.54 gamma=60.45
Fractional positions:
1 Ca 0.4681 0.2305 0.1522
2 Ca 0.7695 0.5319 0.3478
3 Ca 0.5319 0.7695 0.8478
4 Ca 0.2305 0.4681 0.6522
5 P 0.1763 0.8237 0.2500
6 P 0.8237 0.1763 0.7500
7 Pd 0.7646 0.9892 0.4849
8 Pd 0.0108 0.2354 0.0151
9 Pd 0.2354 0.0108 0.5151
10 Pd 0.9892 0.7646 0.9849

Values from the calculation:
The calculation puts the total moment at 0.0 μB per cell. The calculation puts the density of states at the Fermi level at 3.531 states/eV/cell.

=====

The structure with the least stability is version a.

=====

Version a
## Ca2PPd6 (PBE)

Data for a relaxed Ca2PPd6 crystal.

Unit cell a=5.7683 b=5.8009 c=5.7567 alpha=75.86 beta=90.00 gamma=119.81
Fractional positions:
1 Ca 0.6351 0.2702 0.1856
2 Ca 0.3649 0.7298 0.8144
3 P 0.0000 0.0000 0.0000
4 Pd 0.8816 0.2713 0.7062
5 Pd 0.8784 0.7568 0.7103
6 Pd 0.3897 0.2713 0.7062
7 Pd 0.1184 0.7287 0.2938
8 Pd 0.1216 0.2432 0.2897
9 Pd 0.6103 0.7287 0.2938

Values from the calculation:
The calculation puts the total moment at 0.0 μB per cell. The calculation puts the density of states at the Fermi level at 2.945 states/eV/cell.

=====

Version b
## Ca2PPd6 (PBE)

Data for a relaxed Ca2PPd6 crystal.

Unit cell a=5.4530 b=5.8203 c=5.8203 alpha=60.00 beta=89.99 gamma=89.99
Fractional positions:
1 Ca 0.8046 0.6668 0.6668
2 Ca 0.1954 0.3332 0.3332
3 P 0.0000 0.0000 0.0000
4 Pd 0.2886 0.3406 0.8296
5 Pd 0.2887 0.8296 0.8296
6 Pd 0.2886 0.8296 0.3406
7 Pd 0.7114 0.6594 0.1704
8 Pd 0.7113 0.1704 0.1704
9 Pd 0.7114 0.1704 0.6594

Values from the calculation:
The calculation puts the total moment at 0.0 μB per cell. The calculation puts the density of states at the Fermi level at 4.095 states/eV/cell.

=====

The structure with the least stability is version b.